(1)
Below is Mg2CoRe after structural relaxation, with properties calculated at the PBE-GGA level.

Lattice parameters (Å, degrees): 2.7647 4.2323 5.4684 90.00 103.09 90.00
Closest atoms and distances in Å follow each position.
Space group Pm (No. 6)
Symmetry-distinct sites (fractional):
Mg 0.0000 0.0000 0.0000 x1  1 Co 2.60, 4 Mg 2.76-2.87, 2 Re 2.80
Mg 0.3201 0.5000 0.7205 x1  3 Re 2.71-2.91, 2 Co 2.76, 6 Mg 2.76-3.01
Co 0.5695 0.0000 0.4489 x1  2 Re 2.40, 1 Mg 2.60
Re 0.6866 0.5000 0.2620 x1  2 Co 2.40

Values from the calculation:
- Formation enthalpy at 0 K: 0.283 eV per atom
- DOS(E_F): 0.8376 states/eV/atom
- Theoretical density: 7.83 Mg/m³


(2)
Below is RbVGa3 after structural relaxation, with properties calculated at the PBE-GGA level.

Lattice parameters (Å, degrees): 5.0104 5.0104 5.0104 90.00 90.00 90.00
Closest atoms and distances in Å follow each position.
Space group Pm-3m (No. 221)
Symmetry-distinct sites (fractional):
Rb 0.0000 0.0000 0.0000 x1  12 Ga 3.54
V 0.5000 0.5000 0.5000 x1  6 Ga 2.51
Ga 0.0000 0.5000 0.5000 x3  2 V 2.51

Values from the calculation:
- Formation enthalpy at 0 K: 0.171 eV per atom
- DOS(E_F): 1.4779 states/eV/atom
- Theoretical density: 4.56 Mg/m³


Total magnetization for every record listed, in sequence, given in μB/f.u.: 0.12 0.01.